# 1
Compound: MgCSN2
Source: the Alexandria database
Functional: PBE
Structure: relaxed

E ... -24.25 eV per cell
Calculated volume ... 15.52 Å³/atom
Raw formation energy ... 1.4684 eV/atom

Structure (CIF):
```
data_MgCSN2
_chemical_formula_sum 'Mg1 C1 S1 N2'
_space_group_name_H-M_alt 'P 4/m m m'
_space_group_IT_number 123
_space_group_name_Hall '-P 4 2'
_cell_length_a 3.2100
_cell_length_b 3.2100
_cell_length_c 7.5322
_cell_angle_alpha 90.00
_cell_angle_beta 90.00
_cell_angle_gamma 90.00
loop_
_atom_site_label
_atom_site_fract_x
_atom_site_fract_y
_atom_site_fract_z
Mg1 0.0000 0.0000 0.0000
C1 0.5000 0.5000 0.5000
S1 0.5000 0.5000 0.0000
N1 0.0000 0.5000 0.5000
```


# 2
Compound: TiCuRh
Source: the Alexandria database
Functional: PBE
Structure: relaxed

E ... -82.69 eV per cell
Calculated volume ... 14.56 Å³/atom
ΔE_f ... -0.444 eV/atom

Structure (CIF):
```
data_TiCuRh
_chemical_formula_sum 'Ti4 Cu4 Rh4'
_space_group_name_H-M_alt 'C m c m'
_space_group_IT_number 63
_space_group_name_Hall '-C 2c 2'
_cell_length_a 4.2359
_cell_length_b 8.3503
_cell_length_c 4.9402
_cell_angle_alpha 90.00
_cell_angle_beta 90.00
_cell_angle_gamma 90.00
loop_
_atom_site_label
_atom_site_fract_x
_atom_site_fract_y
_atom_site_fract_z
Ti1 0.0000 0.2061 0.2500
Cu1 0.0000 0.5000 0.0000
Rh1 0.0000 0.1127 0.7500
```


# 3
Compound: CrInAuBr2
Source: the Alexandria database
Functional: PBE
Structure: relaxed

E ... -16.68 eV per cell
Calculated volume ... 33.01 Å³/atom
Raw formation energy ... 0.4607 eV/atom

Structure (CIF):
```
data_CrInAuBr2
_chemical_formula_sum 'Cr1 In1 Au1 Br2'
_space_group_name_H-M_alt 'P 4/m m m'
_space_group_IT_number 123
_space_group_name_Hall '-P 4 2'
_cell_length_a 5.5753
_cell_length_b 5.5753
_cell_length_c 5.3104
_cell_angle_alpha 90.00
_cell_angle_beta 90.00
_cell_angle_gamma 90.00
loop_
_atom_site_label
_atom_site_fract_x
_atom_site_fract_y
_atom_site_fract_z
Cr1 0.0000 0.0000 0.0000
In1 0.5000 0.5000 0.0000
Au1 0.5000 0.5000 0.5000
Br1 0.0000 0.5000 0.5000
```